(1)
# CrS2I PBE-GGA relaxed
# - energy above the lowest structure with this stoichiometry (meV per atom) = 302
# - total magnetization (μB/cell) = 0.0
# - calculated total energy (eV/atom) = -4.874
# - raw formation energy (meV per atom) = -17
data_CrS2I
_chemical_formula_sum 'Cr4 S8 I4'
_cell_length_a 6.539
_cell_length_b 6.539
_cell_length_c 9.510
_cell_angle_alpha 90.00
_cell_angle_beta 90.00
_cell_angle_gamma 90.00
_symmetry_space_group_name_H-M 'I -4 2 d'
_symmetry_Int_Tables_number 122
_symmetry_space_group_name_Hall 'I -4 2bw'
loop_
_atom_site_label
_atom_site_fract_x
_atom_site_fract_y
_atom_site_fract_z
_atom_site_occupancy
Cr1 0.000 0.000 0.000 1
S1 0.102 0.250 0.125 1
I1 0.000 0.000 0.500 1

=====

(2)
# Cr2SI PBE-GGA relaxed
# - energy above the lowest structure with this stoichiometry (meV per atom) = 0
# - total magnetization (μB/cell) = 36.0
# - calculated total energy (eV/atom) = -6.257
# - raw formation energy (meV per atom) = -26
data_Cr2SI
_chemical_formula_sum 'Cr8 S4 I4'
_cell_length_a 6.043
_cell_length_b 6.043
_cell_length_c 11.969
_cell_angle_alpha 90.00
_cell_angle_beta 90.00
_cell_angle_gamma 90.00
_symmetry_space_group_name_H-M 'I -4 2 d'
_symmetry_Int_Tables_number 122
_symmetry_space_group_name_Hall 'I -4 2bw'
loop_
_atom_site_label
_atom_site_fract_x
_atom_site_fract_y
_atom_site_fract_z
_atom_site_occupancy
Cr1 0.175 0.250 0.125 1
S1 0.000 0.000 0.000 1
I1 0.000 0.000 0.500 1

=====

(3)
# CrSI3 PBE-GGA relaxed
# - energy above the lowest structure with this stoichiometry (meV per atom) = 107
# - total magnetization (μB/cell) = 0.9
# - calculated total energy (eV/atom) = -2.979
# - raw formation energy (meV per atom) = 701
data_CrSI3
_chemical_formula_sum 'Cr1 S1 I3'
_cell_length_a 5.258
_cell_length_b 5.258
_cell_length_c 5.258
_cell_angle_alpha 90.00
_cell_angle_beta 90.00
_cell_angle_gamma 90.00
_symmetry_space_group_name_H-M 'P m -3 m'
_symmetry_Int_Tables_number 221
_symmetry_space_group_name_Hall '-P 4 2 3'
loop_
_atom_site_label
_atom_site_fract_x
_atom_site_fract_y
_atom_site_fract_z
_atom_site_occupancy
Cr1 0.000 0.000 0.000 1
S1 0.500 0.500 0.500 1
I1 0.000 0.000 0.500 1

=====

(4)
# CrS2I PBE-GGA relaxed
# - energy above the lowest structure with this stoichiometry (meV per atom) = 0
# - total magnetization (μB/cell) = 9.0
# - calculated total energy (eV/atom) = -5.176
# - raw formation energy (meV per atom) = -319
data_CrS2I
_chemical_formula_sum 'Cr3 S6 I3'
_cell_length_a 3.7044
_cell_length_b 3.7044
_cell_length_c 22.8034
_cell_angle_alpha 90.00
_cell_angle_beta 90.00
_cell_angle_gamma 120.00
_symmetry_space_group_name_H-M 'R -3 m'
_symmetry_Int_Tables_number 166
_symmetry_space_group_name_Hall '-R 3 2"'
loop_
_atom_site_label
_atom_site_fract_x
_atom_site_fract_y
_atom_site_fract_z
_atom_site_occupancy
Cr1 0.0000 0.0000 0.0000 1
S1 0.0000 0.0000 0.3850 1
I1 0.0000 0.0000 0.5000 1

=====

(5)
# CrSI2 PBE-GGA relaxed
# - energy above the lowest structure with this stoichiometry (meV per atom) = 226
# - total magnetization (μB/cell) = 8.3
# - calculated total energy (eV/atom) = -3.526
# - raw formation energy (meV per atom) = 687
data_CrSI2
_chemical_formula_sum 'Cr4 S4 I8'
_cell_length_a 7.349
_cell_length_b 7.349
_cell_length_c 7.349
_cell_angle_alpha 90.00
_cell_angle_beta 90.00
_cell_angle_gamma 90.00
_symmetry_space_group_name_H-M 'F m -3 m'
_symmetry_Int_Tables_number 225
_symmetry_space_group_name_Hall '-F 4 2 3'
loop_
_atom_site_label
_atom_site_fract_x
_atom_site_fract_y
_atom_site_fract_z
_atom_site_occupancy
Cr1 0.000 0.000 0.000 1
S1 0.000 0.000 0.500 1
I1 0.250 0.250 0.250 1

=====

(6)
# CrSI2 PBE-GGA relaxed
# - energy above the lowest structure with this stoichiometry (meV per atom) = 0
# - total magnetization (μB/cell) = 8.0
# - calculated total energy (eV/atom) = -3.752
# - raw formation energy (meV per atom) = 461
data_CrSI2
_chemical_formula_sum 'Cr4 S4 I8'
_cell_length_a 7.876
_cell_length_b 7.876
_cell_length_c 7.988
_cell_angle_alpha 90.00
_cell_angle_beta 90.00
_cell_angle_gamma 90.00
_symmetry_space_group_name_H-M 'I -4 2 d'
_symmetry_Int_Tables_number 122
_symmetry_space_group_name_Hall 'I -4 2bw'
loop_
_atom_site_label
_atom_site_fract_x
_atom_site_fract_y
_atom_site_fract_z
_atom_site_occupancy
Cr1 0.000 0.000 0.000 1
S1 0.000 0.000 0.500 1
I1 0.196 0.750 0.125 1